! ErCr2SbO8, relaxed, DFT PBE with a Hubbard U; values from VASP
&SYSTEM
  ibrav = 0, nat = 12, ntyp = 4
/
ATOMIC_SPECIES
Er 167.26 Er.upf
Cr 52.00 Cr.upf
Sb 121.76 Sb.upf
O 16.00 O.upf
ATOMIC_POSITIONS crystal
Er 0.000 0.000 0.500
Cr 0.500 0.500 0.751
Cr 0.500 0.500 0.249
Sb 0.000 0.000 0.000
O 0.208 0.791 0.231
O 0.694 0.695 0.000
O 0.792 0.209 0.231
O 0.792 0.209 0.769
O 0.306 0.305 0.000
O 0.208 0.791 0.769
O 0.673 0.674 0.500
O 0.327 0.326 0.500
CELL_PARAMETERS angstrom
-3.934 2.526 -0.174
-0.052 -0.176 -4.672
-3.459 -5.371 0.241
! Energy = -7.149 eV/atom
! N(E_F) = 0.475 states/eV/f.u.
! Crystal system = orthorhombic